# KS2Cl2

A relaxed structure of KS2Cl2 (GGA-PBE, the Alexandria database).

Computed properties:
Energy relative to the elements, uncorrected   -342.6 meV per atom
Symmetry   I4/mmm, No. 139
E above lowest polymorph   1.04 eV/f.u.
Calculated total energy   -14.8 eV/cell
Crystal system   tetragonal

Lattice parameters (Å, degrees): 3.3832 3.3832 11.6757 81.67 81.67 90.00
Fractional coordinates of all 5 atoms:
S: 0.2500 0.7500 0.5000
S: 0.7500 0.2500 0.5000
Cl: 0.5885 0.5885 0.8229
Cl: 0.4115 0.4115 0.1771
K: 0.0000 0.0000 0.0000


# KS8Cl2

A relaxed structure of KS8Cl2 (GGA-PBE, the Alexandria database).

Computed properties:
Energy relative to the elements, uncorrected   -114.2 meV per atom
Symmetry   C2/m, No. 12
Calculated total energy   -39.1 eV/cell
Crystal system   monoclinic

Lattice parameters (Å, degrees): 4.7771 13.0494 13.0494 27.30 104.14 104.14
Fractional coordinates of all 11 atoms:
S: 0.2808 0.3885 0.3885
S: 0.8688 0.2772 0.2772
S: 0.1312 0.7228 0.7228
S: 0.9236 0.9086 0.4248
S: 0.7192 0.6115 0.6115
S: 0.9236 0.4248 0.9086
S: 0.0764 0.0914 0.5752
S: 0.0764 0.5752 0.0914
Cl: 0.3921 0.9206 0.9206
Cl: 0.6079 0.0794 0.0795
K: 0.0000 0.0000 0.0000


# KS4Cl

A relaxed structure of KS4Cl (GGA-PBE, the Alexandria database).

Computed properties:
Energy relative to the elements, uncorrected   -525.9 meV per atom
Symmetry   P1, No. 1
Calculated total energy   -22.6 eV/cell
Crystal system   triclinic

Lattice parameters (Å, degrees): 4.4387 13.1745 11.4929 19.84 126.77 122.33
Fractional coordinates of all 6 atoms:
S: 0.4443 0.0161 0.9666
S: 0.4775 0.9141 0.2469
S: 0.8706 0.3498 0.6734
S: 0.8498 0.4367 0.4106
K: 0.1818 0.1504 0.3556
Cl: 0.6839 0.6493 0.8581


# KSCl2

A relaxed structure of KSCl2 (GGA-PBE, the Alexandria database).

Computed properties:
Energy relative to the elements, uncorrected   -56.6 meV per atom
Symmetry   R-3m, No. 166
E above lowest polymorph   2.46 eV/f.u.
Calculated total energy   -9.1 eV/cell
Crystal system   trigonal

Lattice parameters (Å, degrees): 8.9996 8.9996 8.9996 30.20 30.20 30.20
Fractional coordinates of all 4 atoms:
Cl: 0.1096 0.1096 0.1096
Cl: 0.8904 0.8904 0.8904
S: 0.5000 0.5000 0.5000
K: 0.0000 0.0000 0.0000


# K6SCl4

A relaxed structure of K6SCl4 (GGA-PBE, the Alexandria database).

Computed properties:
Energy relative to the elements, uncorrected   -1612.2 meV per atom
Symmetry   R-3c, No. 167
Calculated total energy   -71.7 eV/cell
Crystal system   trigonal

Lattice parameters (Å, degrees): 9.2824 9.2824 9.2824 88.91 88.91 91.09
Fractional coordinates of all 22 atoms:
Cl: 0.7500 0.4073 0.9073
Cl: 0.9073 0.2500 0.4073
Cl: 0.2500 0.2500 0.7500
Cl: 0.5927 0.9073 0.7500
Cl: 0.2500 0.5927 0.0927
Cl: 0.0927 0.7500 0.5927
Cl: 0.4073 0.0927 0.2500
Cl: 0.7500 0.7500 0.2500
K: 0.0399 0.9374 0.3087
K: 0.0626 0.3087 0.0399
K: 0.4374 0.5399 0.8087
K: 0.9601 0.0626 0.6913
K: 0.8087 0.5626 0.5399
K: 0.6913 0.0399 0.0626
K: 0.9374 0.6913 0.9601
K: 0.5399 0.1913 0.5626
K: 0.5626 0.4601 0.1913
K: 0.1913 0.4374 0.4601
K: 0.4601 0.8087 0.4374
K: 0.3087 0.9601 0.9374
S: 0.0000 0.0000 0.0000
S: 0.5000 0.5000 0.5000


# K2SCl

A relaxed structure of K2SCl (GGA-PBE, the Alexandria database).

Computed properties:
Energy relative to the elements, uncorrected   -1068.8 meV per atom
Symmetry   I-42d, No. 122
E above lowest polymorph   0.41 eV/f.u.
Calculated total energy   -24.9 eV/cell
Crystal system   tetragonal

Lattice parameters (Å, degrees): 8.2833 8.2833 7.2997 55.43 55.43 90.00
Fractional coordinates of all 8 atoms:
S: 0.2500 0.7500 0.5000
S: 0.5000 0.5000 0.0000
Cl: 0.0000 0.0000 0.0000
Cl: 0.7500 0.2500 0.5000
K: 0.3750 0.3647 0.7500
K: 0.1147 0.6250 0.2500
K: 0.8750 0.8853 0.7500
K: 0.6353 0.1250 0.2500


# KSCl2

A relaxed structure of KSCl2 (GGA-PBE, the Alexandria database).

Computed properties:
Energy relative to the elements, uncorrected   -672.7 meV per atom
Symmetry   R-3m, No. 166
E above lowest polymorph   0.00 eV/f.u.
Calculated total energy   -11.6 eV/cell
Crystal system   trigonal

Lattice parameters (Å, degrees): 7.8703 7.8703 7.8703 37.11 37.11 37.11
Fractional coordinates of all 4 atoms:
S: 0.0000 0.0000 0.0000
K: 0.5000 0.5000 0.5000
Cl: 0.8953 0.8953 0.8953
Cl: 0.1047 0.1047 0.1047


# K3SCl6

A relaxed structure of K3SCl6 (GGA-PBE, the Alexandria database).

Computed properties:
Energy relative to the elements, uncorrected   -1139.6 meV per atom
Symmetry   P2_1/c, No. 14
Calculated total energy   -59.8 eV/cell
Crystal system   monoclinic

Lattice parameters (Å, degrees): 7.4721 7.2532 11.6813 90.00 98.59 90.00
Fractional coordinates of all 20 atoms:
K: 0.9910 0.4303 0.7693
K: 0.0000 0.0000 0.5000
K: 0.4910 0.0697 0.2693
K: 0.0090 0.5697 0.2307
K: 0.5000 0.5000 0.0000
K: 0.5090 0.9303 0.7307
Cl: 0.7476 0.1743 0.9273
Cl: 0.8401 0.7312 0.9456
Cl: 0.2524 0.8257 0.0727
Cl: 0.3890 0.5199 0.7394
Cl: 0.7524 0.6743 0.5727
Cl: 0.3401 0.7688 0.4456
Cl: 0.1110 0.0199 0.7606
Cl: 0.8890 0.9801 0.2394
Cl: 0.2476 0.3257 0.4273
Cl: 0.6110 0.4801 0.2606
Cl: 0.1599 0.2688 0.0544
Cl: 0.6599 0.2312 0.5544
S: 0.5000 0.5000 0.5000
S: 0.0000 0.0000 0.0000


# KS2Cl6

A relaxed structure of KS2Cl6 (GGA-PBE, the Alexandria database).

Computed properties:
Energy relative to the elements, uncorrected   -474.3 meV per atom
Symmetry   C2/c, No. 15
Calculated total energy   -49.4 eV/cell
Crystal system   monoclinic

Lattice parameters (Å, degrees): 7.8848 9.2044 9.2044 81.28 81.26 81.26
Fractional coordinates of all 18 atoms:
S: 0.7024 0.4088 0.0914
S: 0.2976 0.5912 0.9086
S: 0.7976 0.9086 0.5912
S: 0.2024 0.0914 0.4088
Cl: 0.3726 0.0453 0.1926
Cl: 0.8453 0.4514 0.2464
Cl: 0.6274 0.9547 0.8074
Cl: 0.1547 0.5486 0.7536
Cl: 0.4994 0.3796 0.8787
Cl: 0.8726 0.1926 0.0453
Cl: 0.5006 0.6204 0.1213
Cl: 0.0006 0.1213 0.6204
Cl: 0.1274 0.8074 0.9547
Cl: 0.9994 0.8787 0.3796
Cl: 0.6547 0.7536 0.5486
Cl: 0.3453 0.2464 0.4514
K: 0.2500 0.1391 0.8609
K: 0.7500 0.8609 0.1391


# KSCl2

A relaxed structure of KSCl2 (GGA-PBE, the Alexandria database).

Computed properties:
Energy relative to the elements, uncorrected   -489.1 meV per atom
Symmetry   I-42d, No. 122
E above lowest polymorph   0.73 eV/f.u.
Calculated total energy   -21.7 eV/cell
Crystal system   tetragonal

Lattice parameters (Å, degrees): 5.6373 5.6373 9.0707 71.90 71.90 90.00
Fractional coordinates of all 8 atoms:
K: 0.7500 0.2500 0.5000
K: 0.0000 0.0000 0.0000
Cl: 0.3750 0.4809 0.7500
Cl: 0.2309 0.6250 0.2500
Cl: 0.8750 0.7691 0.7500
Cl: 0.5191 0.1250 0.2500
S: 0.2500 0.7500 0.5000
S: 0.5000 0.5000 0.0000


# K2SCl

A relaxed structure of K2SCl (GGA-PBE, the Alexandria database).

Computed properties:
Energy relative to the elements, uncorrected   -1171.6 meV per atom
Symmetry   P4/mmm, No. 123
E above lowest polymorph   0.00 eV/f.u.
Calculated total energy   -12.9 eV/cell
Crystal system   tetragonal

Lattice parameters (Å, degrees): 3.6667 3.6667 8.1818 90.00 90.00 90.00
Fractional coordinates of all 4 atoms:
S: 0.5000 0.5000 0.5000
K: 0.0000 0.0000 0.7636
K: 0.0000 0.0000 0.2364
Cl: 0.5000 0.5000 0.0000


# K12S5Cl3

A relaxed structure of K12S5Cl3 (GGA-PBE, the Alexandria database).

Computed properties:
Energy relative to the elements, uncorrected   -1118.4 meV per atom
Symmetry   Ia-3d, No. 230
Calculated total energy   -246.9 eV/cell
Crystal system   cubic

Lattice parameters (Å, degrees): 16.1925 16.1925 16.1925 109.47 109.47 109.47
Fractional coordinates of all 80 atoms:
K: 0.3821 0.9617 0.7859
K: 0.9038 0.8242 0.7859
K: 0.1179 0.4038 0.0796
K: 0.4038 0.1179 0.5796
K: 0.4204 0.3821 0.5962
K: 0.9204 0.0962 0.8821
K: 0.2141 0.6758 0.0962
K: 0.6758 0.2141 0.5962
K: 0.9617 0.5796 0.1758
K: 0.7859 0.4617 0.3821
K: 0.5796 0.6179 0.4038
K: 0.4204 0.0383 0.3242
K: 0.2859 0.4038 0.8242
K: 0.8242 0.9038 0.2859
K: 0.6179 0.5796 0.9038
K: 0.0962 0.1758 0.2141
K: 0.3242 0.5383 0.4204
K: 0.0796 0.1758 0.4617
K: 0.1758 0.0796 0.9617
K: 0.8242 0.9204 0.0383
K: 0.2141 0.5383 0.6179
K: 0.1179 0.7141 0.5383
K: 0.3242 0.7859 0.4038
K: 0.7141 0.5962 0.1758
K: 0.6179 0.0383 0.2141
K: 0.6758 0.4617 0.5796
K: 0.9204 0.8242 0.5383
K: 0.5383 0.3242 0.9204
K: 0.7141 0.1179 0.0383
K: 0.7859 0.3242 0.9038
K: 0.8821 0.5962 0.9204
K: 0.3821 0.4204 0.0962
K: 0.5383 0.2141 0.1179
K: 0.8821 0.2859 0.4617
K: 0.0796 0.9038 0.1179
K: 0.4617 0.7859 0.8821
K: 0.4038 0.2859 0.3242
K: 0.0383 0.6179 0.7141
K: 0.4617 0.6758 0.0796
K: 0.1758 0.0962 0.7141
K: 0.0383 0.4204 0.8242
K: 0.9038 0.0796 0.6179
K: 0.0962 0.9204 0.3821
K: 0.5962 0.8821 0.4204
K: 0.2859 0.8821 0.9617
K: 0.9617 0.3821 0.2859
K: 0.5962 0.7141 0.6758
K: 0.5796 0.9617 0.6758
Cl: 0.6250 0.2500 0.3750
Cl: 0.7500 0.3750 0.1250
Cl: 0.8750 0.7500 0.1250
Cl: 0.1250 0.2500 0.8750
Cl: 0.2500 0.6250 0.8750
Cl: 0.7500 0.8750 0.6250
Cl: 0.1250 0.8750 0.7500
Cl: 0.2500 0.1250 0.3750
Cl: 0.8750 0.1250 0.2500
Cl: 0.6250 0.3750 0.7500
Cl: 0.3750 0.6250 0.2500
Cl: 0.3750 0.7500 0.6250
S: 0.6250 0.8750 0.2500
S: 0.8750 0.6250 0.7500
S: 0.1250 0.3750 0.2500
S: 0.6250 0.7500 0.8750
S: 0.2500 0.3750 0.6250
S: 0.5000 0.0000 0.5000
S: 0.7500 0.1250 0.8750
S: 0.1250 0.7500 0.3750
S: 0.0000 0.5000 0.5000
S: 0.5000 0.5000 0.5000
S: 0.3750 0.2500 0.1250
S: 0.7500 0.6250 0.3750
S: 0.0000 0.5000 0.0000
S: 0.2500 0.8750 0.1250
S: 0.5000 0.5000 0.0000
S: 0.8750 0.2500 0.6250
S: 0.0000 0.0000 0.5000
S: 0.3750 0.1250 0.7500
S: 0.0000 0.0000 0.0000
S: 0.5000 0.0000 0.0000


Which formula does entry 11 have? K2SCl


Number 3 is which compound? KS4Cl


What is the formula in the eleventh record? K2SCl